(1)
GGA-PBE IrSe, optimized geometry; total energy = -5.89 eV per atom; M_tot = 0.000 μB/atom; V = 19.22 Å³/atom; crystal system = tetragonal; uncorrected formation energy = 0.286 eV/atom
1.0
3.108 0.000 0.000
0.000 3.108 0.000
0.000 0.000 7.960
Ir Se
2 2
direct
0.250 0.250 0.131
0.750 0.750 0.869
0.250 0.250 0.711
0.750 0.750 0.289

(2)
GGA-PBE IrSe, optimized geometry; total energy = -5.34 eV per atom; M_tot = 0.000 μB/atom; V = 16.75 Å³/atom; crystal system = trigonal; uncorrected formation energy = 0.834 eV/atom
1.0
2.308 1.332 3.632
-2.308 1.332 3.632
0.000 -2.665 3.632
Ir Se
2 2
direct
0.130 0.130 0.130
0.870 0.870 0.870
0.365 0.365 0.365
0.635 0.635 0.635

(3)
GGA-PBE IrSe, optimized geometry; total energy = -5.74 eV per atom; M_tot = 0.000 μB/atom; V = 16.58 Å³/atom; crystal system = monoclinic; uncorrected formation energy = 0.430 eV/atom
1.0
4.792 -1.557 0.000
4.792 1.557 0.000
-0.529 0.000 4.442
Ir Se
2 2
direct
0.132 0.132 0.348
0.868 0.868 0.652
0.380 0.380 0.198
0.620 0.620 0.802

(4)
GGA-PBE Ir4Se5, optimized geometry; E above lowest polymorph = 0.00 eV/f.u.; total energy = -5.46 eV per atom; M_tot = 0.000 μB/atom; V = 18.13 Å³/atom; crystal system = hexagonal; uncorrected formation energy = 0.410 eV/atom
1.0
7.250 0.000 0.000
-3.625 6.279 0.000
0.000 0.000 7.168
Ir Se
8 10
direct
0.000 0.000 0.000
0.000 0.000 0.500
0.000 0.429 0.250
0.000 0.571 0.750
0.429 0.000 0.250
0.429 0.429 0.750
0.571 0.000 0.750
0.571 0.571 0.250
0.000 0.241 0.750
0.000 0.759 0.250
0.241 0.000 0.750
0.241 0.241 0.250
0.333 0.667 0.000
0.333 0.667 0.500
0.667 0.333 0.000
0.667 0.333 0.500
0.759 0.000 0.250
0.759 0.759 0.750

(5)
GGA-PBE Ir2Se3, optimized geometry; total energy = -5.69 eV per atom; M_tot = 0.000 μB/atom; V = 21.17 Å³/atom; crystal system = trigonal; uncorrected formation energy = -0.059 eV/atom
1.0
3.589 0.000 0.000
-1.795 3.108 0.000
0.000 0.000 9.487
Ir Se
2 3
direct
0.333 0.667 0.314
0.667 0.333 0.686
0.000 0.000 0.500
0.333 0.667 0.820
0.667 0.333 0.180

(6)
GGA-PBE SiIr2Se, optimized geometry; E above lowest polymorph = 1.62 eV/f.u.; total energy = -6.49 eV per atom; M_tot = 0.000 μB/atom; V = 16.04 Å³/atom; crystal system = tetragonal; uncorrected formation energy = 0.163 eV/atom
1.0
2.894 0.000 0.000
0.000 2.894 0.000
0.000 0.000 7.660
Si Ir Se
1 2 1
direct
0.000 0.000 0.000
0.000 0.000 0.455
0.500 0.500 0.186
0.500 0.500 0.665

(7)
GGA-PBE Si3IrSe, optimized geometry; E above lowest polymorph = 0.00 eV/f.u.; total energy = -5.52 eV per atom; M_tot = 0.000 μB/atom; V = 20.08 Å³/atom; crystal system = cubic; uncorrected formation energy = 0.199 eV/atom
1.0
4.648 0.000 0.000
0.000 4.648 0.000
0.000 0.000 4.648
Si Ir Se
3 1 1
direct
0.000 0.000 0.500
0.000 0.500 0.000
0.500 0.000 0.000
0.000 0.000 0.000
0.500 0.500 0.500

(8)
GGA-PBE SiIr2Se, optimized geometry; E above lowest polymorph = 0.78 eV/f.u.; total energy = -6.70 eV per atom; M_tot = 0.000 μB/atom; V = 16.06 Å³/atom; crystal system = monoclinic; uncorrected formation energy = -0.047 eV/atom
1.0
3.542 -1.466 0.000
3.542 1.466 0.000
-1.146 0.000 6.187
Si Ir Se
1 2 1
direct
0.000 0.000 0.000
0.258 0.258 0.802
0.742 0.742 0.198
0.500 0.500 0.500

Question: The lowest V belongs to which entry?
Answer: number 6